No. 1
Ta2Be2Re | the Alexandria database | PBEsol | relaxed; spin magnetization = 0.00 μB/cell; formation energy = -0.394 eV per atom
1.0
6.282 0.000 0.000
0.000 6.282 0.000
0.000 0.000 3.262
Ta Be Re
4 4 2
direct
0.178 0.322 0.000 Ta
0.322 0.822 0.000 Ta
0.678 0.178 0.000 Ta
0.822 0.678 0.000 Ta
0.118 0.618 0.500 Be
0.382 0.118 0.500 Be
0.618 0.882 0.500 Be
0.882 0.382 0.500 Be
0.000 0.000 0.500 Re
0.500 0.500 0.500 Re



No. 2
AlPF3 | the Alexandria database | PBEsol | relaxed; spin magnetization = 0.00 μB/cell; E_form (uncorrected) = -92.6 kJ/mol of atoms
1.0
4.230 0.000 0.000
0.000 4.230 0.000
0.000 0.000 4.230
Al P F
1 1 3
direct
0.000 0.000 0.000 Al
0.500 0.500 0.500 P
0.000 0.500 0.500 F
0.500 0.000 0.500 F
0.500 0.500 0.000 F



| no. | density of states at the Fermi level (states/eV/atom) |
| --- | --- |
| 1 | 0.32 |
| 2 | 0.33 |